# 1
# CuSn2OsRu

A relaxed CuSn2OsRu crystal (GGA-PBE, Alexandria).

Cell: 5.112 5.112 4.780 Å, 90.00 90.00 90.00°
Space group P4/mmm (No. 123)
Asymmetric unit:
Cu: 0.000 0.000 0.000 [1 per cell]
Sn: 0.000 0.500 0.500 [2 per cell]
Os: 0.500 0.500 0.500 [1 per cell]
Ru: 0.500 0.500 0.000 [1 per cell]

Summary:
The value obtained for the formation enthalpy at 0 K is 1136.9 meV per atom. The theoretical density comes out at 7.9 g/cm³. For the total energy, the calculation gives -5.38 eV/atom. For the density of states at the Fermi level, the calculation gives 1.130 states/eV/atom.

# 2
# Pr3Al3CoHg2

A relaxed Pr3Al3CoHg2 crystal (GGA-PBE, Alexandria).

Cell: 7.4753 7.4753 4.3417 Å, 90.00 90.00 120.00°
Space group P-62m (No. 189)
Asymmetric unit:
Pr: 0.0000 0.6163 0.0000 [3 per cell]
Al: 0.0000 0.2113 0.5000 [3 per cell]
Co: 0.0000 0.0000 0.0000 [1 per cell]
Hg: 0.3333 0.6667 0.5000 [2 per cell]

Summary:
The value obtained for the formation enthalpy at 0 K is -415.7 meV per atom. The theoretical density comes out at 7.6 g/cm³. For the total energy, the calculation gives -4.11 eV/atom. For the density of states at the Fermi level, the calculation gives 1.198 states/eV/atom.

Copy entry 2 word for word.
# Pr3Al3CoHg2

A relaxed Pr3Al3CoHg2 crystal (GGA-PBE, Alexandria).

Cell: 7.4753 7.4753 4.3417 Å, 90.00 90.00 120.00°
Space group P-62m (No. 189)
Asymmetric unit:
Pr: 0.0000 0.6163 0.0000 [3 per cell]
Al: 0.0000 0.2113 0.5000 [3 per cell]
Co: 0.0000 0.0000 0.0000 [1 per cell]
Hg: 0.3333 0.6667 0.5000 [2 per cell]

Summary:
The value obtained for the formation enthalpy at 0 K is -415.7 meV per atom. The theoretical density comes out at 7.6 g/cm³. For the total energy, the calculation gives -4.11 eV/atom. For the density of states at the Fermi level, the calculation gives 1.198 states/eV/atom.

theoretical density of number 2 (Pr3Al3CoHg2)? 7.6 g/cm³